Computed, not measured: a relaxed NbCu2GeW crystal at the PBE level of DFT.

Summary:
Its density is 7.4 g/cm³. The calculation puts the formation energy at 1.418 eV per atom.

Lattice parameters (Å, degrees): 4.744 4.730 4.744 90.00 90.00 90.00
Atoms (fractional coordinates):
1 Nb 0.000 0.500 0.000
2 Cu 0.000 0.000 0.500
3 Cu 0.500 0.000 0.000
4 Ge 0.500 0.500 0.500
5 W 0.000 0.000 0.000